VASP calculation (PBE) on an optimized crystal structure of MgAsRh2. Values from VASP.

## Properties
Its formation energy is -0.388 eV/atom. Its magnetization is 0.0 μB per formula unit. The calculation puts the volume at 15.70 A^3/atom. Its calculated total energy is -5.62 eV per atom. As for the space group: Pm (6).

```
&SYSTEM
  ibrav = 0, nat = 4, ntyp = 3
/
ATOMIC_SPECIES
As 74.92 As.upf
Mg 24.30 Mg.upf
Rh 102.91 Rh.upf
CELL_PARAMETERS angstrom
-1.827 3.586 -2.048
-2.525 -0.410 1.536
0.348 2.554 4.161
ATOMIC_POSITIONS angstrom
As -0.684 1.032 2.417
Mg -2.379 3.437 3.163
Rh -0.152 -0.014 0.111
Rh -1.879 2.346 0.806
```